Version i
An optimized crystal structure of Li3YBi. Source: Alexandria via LeMat-Bulk, functional PBE.

Values from the calculation:
* calculated volume: 26.1 Å³/atom

a b c (Å): 5.072 5.072 5.072
angles (deg): 90.00 90.00 90.00
Fractional coordinates of all 5 atoms:
Li 0.000 0.000 0.500
Li 0.000 0.500 0.000
Li 0.500 0.000 0.000
Y 0.500 0.500 0.500
Bi 0.000 0.000 0.000

***

Version ii
An optimized crystal structure of Li3YBi. Source: Alexandria via LeMat-Bulk, functional PBE.

Values from the calculation:
* calculated volume: 30.4 Å³/atom

a b c (Å): 5.337 5.337 5.337
angles (deg): 90.00 90.00 90.00
Fractional coordinates of all 5 atoms:
Li 0.000 0.000 0.500
Li 0.000 0.500 0.000
Li 0.500 0.000 0.000
Y 0.000 0.000 0.000
Bi 0.500 0.500 0.500

***

Most stable: version i (next structure +784 meV/atom)

***

Version i
An optimized crystal structure of LiY2Bi2. Source: Alexandria via LeMat-Bulk, functional PBE.

Values from the calculation:
* calculated volume: 29.9 Å³/atom

a b c (Å): 8.613 8.613 4.033
angles (deg): 90.00 90.00 90.00
Fractional coordinates of all 10 atoms:
Li 0.000 0.000 0.000
Li 0.500 0.500 0.000
Y 0.141 0.359 0.000
Y 0.359 0.859 0.000
Y 0.641 0.141 0.000
Y 0.859 0.641 0.000
Bi 0.163 0.663 0.500
Bi 0.337 0.163 0.500
Bi 0.663 0.837 0.500
Bi 0.837 0.337 0.500

***

Version ii
An optimized crystal structure of LiY2Bi2. Source: Alexandria via LeMat-Bulk, functional PBE.

Values from the calculation:
* calculated volume: 29.0 Å³/atom

a b c (Å): 8.289 8.289 4.224
angles (deg): 90.00 90.00 90.00
Fractional coordinates of all 10 atoms:
Li 0.000 0.000 0.000
Li 0.500 0.500 0.000
Y 0.151 0.349 0.500
Y 0.349 0.849 0.500
Y 0.651 0.151 0.500
Y 0.849 0.651 0.500
Bi 0.156 0.656 0.000
Bi 0.344 0.156 0.000
Bi 0.656 0.844 0.000
Bi 0.844 0.344 0.000

***

Most stable: version ii (next structure +170 meV/atom)

***

Version i
An optimized crystal structure of Li2ZnBi2. Source: Alexandria via LeMat-Bulk, functional PBE.

Values from the calculation:
* calculated volume: 22.5 Å³/atom

a b c (Å): 8.212 8.212 3.342
angles (deg): 90.00 90.00 90.00
Fractional coordinates of all 10 atoms:
Li 0.117 0.383 0.000
Li 0.383 0.883 0.000
Li 0.617 0.117 0.000
Li 0.883 0.617 0.000
Zn 0.000 0.000 0.000
Zn 0.500 0.500 0.000
Bi 0.184 0.684 0.500
Bi 0.316 0.184 0.500
Bi 0.684 0.816 0.500
Bi 0.816 0.316 0.500

***

Version ii
An optimized crystal structure of Li2ZnBi2. Source: Alexandria via LeMat-Bulk, functional PBE.

Values from the calculation:
* calculated volume: 24.6 Å³/atom

a b c (Å): 9.486 8.090 6.692
angles (deg): 90.00 106.65 90.00
Fractional coordinates of all 20 atoms:
Li 0.042 0.195 0.011
Li 0.042 0.305 0.511
Li 0.299 0.700 0.258
Li 0.299 0.800 0.758
Li 0.701 0.200 0.242
Li 0.701 0.300 0.742
Li 0.958 0.695 0.489
Li 0.958 0.805 0.989
Zn 0.401 0.088 0.573
Zn 0.401 0.412 0.073
Zn 0.599 0.588 0.927
Zn 0.599 0.912 0.427
Bi 0.119 0.525 0.871
Bi 0.119 0.975 0.371
Bi 0.376 0.065 0.106
Bi 0.376 0.435 0.606
Bi 0.624 0.565 0.394
Bi 0.624 0.935 0.894
Bi 0.881 0.025 0.629
Bi 0.881 0.475 0.129

***

Version iii
An optimized crystal structure of Li2ZnBi2. Source: Alexandria via LeMat-Bulk, functional PBE.

Values from the calculation:
* calculated volume: 23.6 Å³/atom

a b c (Å): 8.436 8.436 3.320
angles (deg): 90.00 90.00 90.00
Fractional coordinates of all 10 atoms:
Li 0.117 0.383 0.000
Li 0.383 0.883 0.000
Li 0.617 0.117 0.000
Li 0.883 0.617 0.000
Zn 0.000 0.000 0.500
Zn 0.500 0.500 0.500
Bi 0.183 0.683 0.500
Bi 0.317 0.183 0.500
Bi 0.683 0.817 0.500
Bi 0.817 0.317 0.500

***

Most stable: version ii (next structure +78 meV/atom)

***

Version i
An optimized crystal structure of LiZn2Bi2. Source: Alexandria via LeMat-Bulk, functional PBE.

Values from the calculation:
* calculated volume: 25.5 Å³/atom

a b c (Å): 8.264 8.264 8.264
angles (deg): 151.61 151.61 40.58
Fractional coordinates of all 5 atoms:
Li 0.000 0.000 0.000
Zn 0.250 0.750 0.500
Zn 0.750 0.250 0.500
Bi 0.381 0.381 0.000
Bi 0.619 0.619 0.000

***

Version ii
An optimized crystal structure of LiZn2Bi2. Source: Alexandria via LeMat-Bulk, functional PBE.

Values from the calculation:
* calculated volume: 23.4 Å³/atom

a b c (Å): 7.608 7.608 4.038
angles (deg): 90.00 90.00 90.00
Fractional coordinates of all 10 atoms:
Li 0.000 0.000 0.000
Li 0.500 0.500 0.000
Zn 0.118 0.382 0.000
Zn 0.382 0.882 0.000
Zn 0.618 0.118 0.000
Zn 0.882 0.618 0.000
Bi 0.189 0.689 0.500
Bi 0.311 0.189 0.500
Bi 0.689 0.811 0.500
Bi 0.811 0.311 0.500

***

Most stable: version i (next structure +24 meV/atom)

***

Version i
An optimized crystal structure of LuBi3. Source: Alexandria via LeMat-Bulk, functional PBE.

Values from the calculation:
* calculated volume: 30.0 Å³/atom

a b c (Å): 4.932 4.932 4.932
angles (deg): 90.00 90.00 90.00
Fractional coordinates of all 4 atoms:
Lu 0.000 0.000 0.000
Bi 0.000 0.500 0.500
Bi 0.500 0.000 0.500
Bi 0.500 0.500 0.000

***

Version ii
An optimized crystal structure of LuBi3. Source: Alexandria via LeMat-Bulk, functional PBE.

Values from the calculation:
* calculated volume: 33.0 Å³/atom

a b c (Å): 4.522 6.291 4.638
angles (deg): 90.00 90.00 90.00
Fractional coordinates of all 4 atoms:
Lu 0.000 0.000 0.000
Bi 0.000 0.500 0.143
Bi 0.500 0.000 0.514
Bi 0.500 0.500 0.699

***

Version iii
An optimized crystal structure of LuBi3. Source: Alexandria via LeMat-Bulk, functional PBE.

Values from the calculation:
* calculated volume: 30.0 Å³/atom

a b c (Å): 6.877 6.877 5.854
angles (deg): 90.00 90.00 120.00
Fractional coordinates of all 8 atoms:
Lu 0.333 0.667 0.250
Lu 0.667 0.333 0.750
Bi 0.174 0.349 0.750
Bi 0.174 0.826 0.750
Bi 0.349 0.174 0.250
Bi 0.651 0.826 0.750
Bi 0.826 0.174 0.250
Bi 0.826 0.651 0.250

***

Version iv
An optimized crystal structure of LuBi3. Source: Alexandria via LeMat-Bulk, functional PBE.

Values from the calculation:
* calculated volume: 29.9 Å³/atom

a b c (Å): 6.468 6.468 6.468
angles (deg): 138.02 138.02 60.87
Fractional coordinates of all 4 atoms:
Lu 0.000 0.000 0.000
Bi 0.250 0.750 0.500
Bi 0.500 0.500 0.000
Bi 0.750 0.250 0.500

***

Most stable: version ii (next structure +52 meV/atom)

***

Version i
An optimized crystal structure of LuMg2Bi. Source: Alexandria via LeMat-Bulk, functional PBE.

Values from the calculation:
* calculated volume: 25.3 Å³/atom

a b c (Å): 4.541 4.541 4.916
angles (deg): 90.00 90.00 90.00
Fractional coordinates of all 4 atoms:
Lu 0.000 0.000 0.000
Mg 0.000 0.500 0.500
Mg 0.500 0.000 0.500
Bi 0.500 0.500 0.000

***

Version ii
An optimized crystal structure of LuMg2Bi. Source: Alexandria via LeMat-Bulk, functional PBE.

Values from the calculation:
* calculated volume: 26.7 Å³/atom

a b c (Å): 5.327 5.327 5.327
angles (deg): 60.00 60.00 60.00
Fractional coordinates of all 4 atoms:
Lu 0.000 0.000 0.000
Mg 0.250 0.250 0.250
Mg 0.750 0.750 0.750
Bi 0.500 0.500 0.500

***

Most stable: version i (next structure +245 meV/atom)